[1]
Material: Ca5Co2N4
Method: DFT, GGA-PBEsol
State: optimized geometry

a = 7.9731 Å, b = 7.9731 Å, c = 11.8647 Å
α = 90.00°, β = 90.00°, γ = 90.00°
Last column: nearest neighbours and their distance in Å.
Atoms (fractional coordinates):
Ca 0.8252 0.1162 0.4030  4 N 2.37-2.59
N 0.3909 0.2989 0.6072  1 Co 1.77
Ca 0.3252 0.3838 0.0970  4 N 2.37-2.59
N 0.8909 0.2011 0.8928  1 Co 1.77
Co 0.1575 0.1575 0.2500  2 N 1.77
N 0.7011 0.3909 0.3928  1 Co 1.77
N 0.2989 0.3909 0.8928  1 Co 1.77
N 0.7989 0.1091 0.6072  1 Co 1.77
Ca 0.1162 0.8252 0.0970  4 N 2.37-2.59
Co 0.6575 0.6575 0.7500  2 N 1.77
Ca 0.1748 0.8838 0.4030  4 N 2.37-2.59
Ca 0.8838 0.1748 0.0970  4 N 2.37-2.59
N 0.6091 0.7011 0.6072  1 Co 1.77
N 0.7011 0.6091 0.8928  1 Co 1.77
Ca 0.3838 0.6748 0.9030  4 N 2.37-2.59
Ca 0.8838 0.8252 0.5970  4 N 2.37-2.59
N 0.2989 0.6091 0.3928  1 Co 1.77
Co 0.8425 0.1575 0.7500  2 N 1.77
Co 0.8425 0.8425 0.2500  2 N 1.77
Ca 0.8252 0.8838 0.9030  4 N 2.37-2.59
Ca 0.6748 0.6162 0.0970  4 N 2.37-2.59
Ca 0.1748 0.1162 0.9030  4 N 2.37-2.59
Ca 0.6748 0.3838 0.5970  4 N 2.37-2.59
Ca 0.6162 0.6748 0.4030  4 N 2.37-2.59
Ca 0.3838 0.3252 0.4030  4 N 2.37-2.59
Ca 0.0000 0.5000 0.8486  4 N 2.59
Co 0.3425 0.3425 0.7500  2 N 1.77
Co 0.3425 0.6575 0.2500  2 N 1.77
N 0.7989 0.8909 0.1072  1 Co 1.77
N 0.6091 0.2989 0.1072  1 Co 1.77
N 0.3909 0.7011 0.1072  1 Co 1.77
N 0.1091 0.7989 0.8928  1 Co 1.77
Ca 0.1162 0.1748 0.5970  4 N 2.37-2.59
N 0.2011 0.1091 0.1072  1 Co 1.77
N 0.2011 0.8909 0.6072  1 Co 1.77
Co 0.6575 0.3425 0.2500  2 N 1.77
Co 0.1575 0.8425 0.7500  2 N 1.77
Ca 0.0000 0.5000 0.3486  4 N 2.59
Ca 0.5000 0.0000 0.1514  4 N 2.59
Ca 0.6162 0.3252 0.9030  4 N 2.37-2.59
N 0.1091 0.2011 0.3928  1 Co 1.77
Ca 0.3252 0.6162 0.5970  4 N 2.37-2.59
N 0.8909 0.7989 0.3928  1 Co 1.77
Ca 0.5000 0.0000 0.6514  4 N 2.59

Values from the calculation:
volume = 17.14 A^3/atom
raw total energy = -6.237 eV per atom
energy relative to the elements, uncorrected = -8.361 eV per formula unit
N(E_F) = 0.360 states/eV/f.u.

[2]
Material: CaCoNO2
Method: DFT, GGA-PBEsol
State: optimized geometry

a = 4.1913 Å, b = 4.1913 Å, c = 4.3819 Å
α = 90.00°, β = 90.00°, γ = 90.00°
Last column: nearest neighbours and their distance in Å.
Atoms (fractional coordinates):
Ca 0.0000 0.0000 0.0000  4 O 2.10, 2 N 2.19
O 0.0000 0.5000 0.0000  2 Ca 2.10
N 0.0000 0.0000 0.5000  2 Ca 2.19
Co 0.5000 0.5000 0.5000  4 N 2.96, 8 O 3.03
O 0.5000 0.0000 0.0000  2 Ca 2.10

Values from the calculation:
volume = 15.40 A^3/atom
raw total energy = -4.885 eV per atom
energy relative to the elements, uncorrected = 4.471 eV per formula unit
N(E_F) = 4.875 states/eV/f.u.

[3]
Material: CaCoNO2
Method: DFT, GGA-PBEsol
State: optimized geometry

a = 3.4015 Å, b = 3.8921 Å, c = 3.8921 Å
α = 90.00°, β = 90.00°, γ = 90.00°
Last column: nearest neighbours and their distance in Å.
Atoms (fractional coordinates):
O 0.0000 0.0000 0.5000  2 Co 1.95
N 0.5000 0.0000 0.0000  2 Co 1.70
Co 0.0000 0.0000 0.0000  2 N 1.70
Ca 0.5000 0.5000 0.5000  8 O 2.58, 4 N 2.75
O 0.0000 0.5000 0.0000  2 Co 1.95

Values from the calculation:
volume = 10.31 A^3/atom
raw total energy = -6.843 eV per atom
energy relative to the elements, uncorrected = -5.320 eV per formula unit
N(E_F) = 4.095 states/eV/f.u.

[4]
Material: CaCoS2N
Method: DFT, GGA-PBEsol
State: optimized geometry

a = 4.3218 Å, b = 5.1263 Å, c = 5.1263 Å
α = 90.00°, β = 90.00°, γ = 90.00°
Last column: nearest neighbours and their distance in Å.
Atoms (fractional coordinates):
N 0.5000 0.0000 0.0000  2 Ca 2.16
S 0.0000 0.0000 0.5000  2 Ca 2.56
S 0.0000 0.5000 0.0000  2 Ca 2.56
Ca 0.0000 0.0000 0.0000  2 N 2.16
Co 0.5000 0.5000 0.5000  8 S 3.35, 4 N 3.62

Values from the calculation:
volume = 22.71 A^3/atom
raw total energy = -4.143 eV per atom
energy relative to the elements, uncorrected = 6.453 eV per formula unit
N(E_F) = 4.947 states/eV/f.u.

[5]
Material: CaCoSe2N
Method: DFT, GGA-PBEsol
State: optimized geometry

a = 4.3173 Å, b = 5.3291 Å, c = 5.3291 Å
α = 90.00°, β = 90.00°, γ = 90.00°
Last column: nearest neighbours and their distance in Å.
Atoms (fractional coordinates):
Ca 0.0000 0.0000 0.0000  2 N 2.16
N 0.5000 0.0000 0.0000  2 Ca 2.16
Co 0.5000 0.5000 0.5000  8 Se 3.43, 4 N 3.77
Se 0.0000 0.0000 0.5000  2 Ca 2.66
Se 0.0000 0.5000 0.0000  2 Ca 2.66

Values from the calculation:
volume = 24.52 A^3/atom
raw total energy = -3.966 eV per atom
energy relative to the elements, uncorrected = 6.267 eV per formula unit
N(E_F) = 7.681 states/eV/f.u.

[6]
Material: CaNbCo2S
Method: DFT, GGA-PBEsol
State: optimized geometry

a = 4.2481 Å, b = 4.2481 Å, c = 4.7955 Å
α = 90.00°, β = 90.00°, γ = 90.00°
Last column: nearest neighbours and their distance in Å.
Atoms (fractional coordinates):
S 0.0000 0.0000 0.5000  2 Ca 2.40
Co 0.5000 0.0000 0.0000  2 Ca 2.12
Nb 0.5000 0.5000 0.5000  4 S 3.00, 8 Co 3.20
Ca 0.0000 0.0000 0.0000  4 Co 2.12
Co 0.0000 0.5000 0.0000  2 Ca 2.12

Values from the calculation:
volume = 17.31 A^3/atom
raw total energy = -5.029 eV per atom
energy relative to the elements, uncorrected = 7.669 eV per formula unit
N(E_F) = 7.245 states/eV/f.u.